[1]
20
Lattice="-3.834 8.063 -0.526 -6.595 -3.314 -5.052 -4.905 -1.706 7.282" Properties=species:S:1:pos:R:3 comment="K3NiBr6 GGA-PBE relaxed" spacegroup="R-3 (148)" total_magnetization_mub_per_atom=0.1001 volume_a3_per_atom=35.760 e_form_raw_kj_per_mol_atoms=-105.45 pbc="T T T"
K -11.527 -0.810 0.736
K -10.763 4.106 -1.169
K -4.969 -0.141 -2.358
K -10.364 3.185 4.063
K -4.570 -1.063 2.873
K -3.806 3.853 0.969
Ni 0.000 0.000 0.000
Ni -7.667 1.522 0.852
Br -7.558 -1.206 -4.106
Br -9.900 -3.679 0.849
Br -9.425 1.073 -0.876
Br -8.750 4.674 -3.722
Br -9.142 0.539 2.624
Br -6.687 -0.745 0.427
Br -8.646 3.788 1.278
Br -6.192 2.504 -0.919
Br -6.583 -1.631 5.426
Br -5.909 1.970 2.581
Br -5.433 6.722 0.855
Br -7.775 4.249 5.810



[2]
6
Lattice="5.072 0.000 0.000 0.000 9.627 0.000 2.536 4.814 3.658" Properties=species:S:1:pos:R:3 comment="KNiBr GGA-PBE relaxed" spacegroup="Imm2 (44)" total_magnetization_mub_per_atom=0.0000 volume_a3_per_atom=29.769 e_form_raw_kj_per_mol_atoms=-40.51 pbc="T T T"
Ni 3.804 9.627 1.271
Ni 1.268 9.627 1.271
K 2.536 12.027 3.116
K 2.536 7.228 3.116
Br 5.072 9.627 3.184
Br 5.072 4.814 3.016



[3]
5
Lattice="5.068 0.000 0.000 0.000 5.068 0.000 0.000 0.000 5.068" Properties=species:S:1:pos:R:3 comment="KNiBr3 GGA-PBE relaxed" spacegroup="Pm-3m (221)" total_magnetization_mub_per_atom=0.0000 volume_a3_per_atom=26.040 e_form_raw_kj_per_mol_atoms=-78.29 pbc="T T T"
K 2.534 2.534 2.534
Ni 0.000 0.000 0.000
Br 0.000 2.534 0.000
Br 0.000 0.000 2.534
Br 2.534 0.000 0.000



[4]
5
Lattice="-2.659 2.484 2.753 -3.329 -0.106 -3.119 -1.634 -3.826 1.874" Properties=species:S:1:pos:R:3 comment="KNi3Br GGA-PBE relaxed" spacegroup="Pm-3m (221)" total_magnetization_mub_per_atom=0.0000 volume_a3_per_atom=19.003 e_form_raw_kj_per_mol_atoms=72.21 pbc="T T T"
Ni -1.664 -0.053 -1.560
Ni -0.817 -1.913 0.937
Ni -1.330 1.242 1.377
K -3.811 -0.724 0.754
Br 0.000 0.000 0.000



[5]
6
Lattice="4.858 -2.804 0.000 0.000 5.609 0.000 0.000 0.000 8.804" Properties=species:S:1:pos:R:3 comment="KNiBr GGA-PBE relaxed" spacegroup="P6_3/mmc (194)" total_magnetization_mub_per_atom=0.0000 volume_a3_per_atom=39.979 e_form_raw_kj_per_mol_atoms=-17.05 pbc="T T T"
Ni 0.000 0.000 0.000
Ni 0.000 0.000 4.402
K 1.619 2.804 2.201
K 3.238 0.000 6.603
Br 0.000 0.000 2.201
Br 0.000 0.000 6.603



[6]
3
Lattice="-0.117 2.657 3.888 -1.149 4.559 -0.296 -4.127 1.504 1.702" Properties=species:S:1:pos:R:3 comment="KNiBr GGA-PBE relaxed" spacegroup="F-43m (216)" total_magnetization_mub_per_atom=0.0036 volume_a3_per_atom=24.638 e_form_raw_kj_per_mol_atoms=18.59 pbc="T T T"
Ni -2.696 4.360 2.647
K -1.348 2.180 1.323
Br -4.044 6.540 3.970